A geometry-optimized U2PaRu9 structure. Source: Alexandria via LeMat-Bulk, functional PBE.

For the formation energy, the calculation gives -391 kJ/mol of formula units. The total energy is -119.6 eV/cell. Its total magnetization is 0.00 μB per atom.

Unit cell a=4.012 b=4.012 c=12.040 alpha=90.00 beta=90.00 gamma=90.00
Fractional coordinates of all 12 atoms:
U (0.000, 0.000, 0.166)
U (0.000, 0.000, 0.834)
Pa (0.000, 0.000, 0.500)
Ru (0.000, 0.500, 0.000)
Ru (0.000, 0.500, 0.328)
Ru (0.000, 0.500, 0.672)
Ru (0.500, 0.000, 0.000)
Ru (0.500, 0.000, 0.328)
Ru (0.500, 0.000, 0.672)
Ru (0.500, 0.500, 0.164)
Ru (0.500, 0.500, 0.500)
Ru (0.500, 0.500, 0.836)



A geometry-optimized Nd4Ga3Sn structure. Source: Alexandria via LeMat-Bulk, functional PBE.

For the formation energy, the calculation gives -497 kJ/mol of formula units. The total energy is -37.3 eV/cell. Its total magnetization is 0.09 μB per atom.

Unit cell a=4.233 b=4.557 c=11.438 alpha=90.00 beta=90.00 gamma=90.00
Fractional coordinates of all 8 atoms:
Nd (0.000, 0.000, 0.000)
Nd (0.000, 0.500, 0.487)
Nd (0.500, 0.000, 0.709)
Nd (0.500, 0.500, 0.217)
Ga (0.000, 0.000, 0.282)
Ga (0.500, 0.000, 0.426)
Ga (0.500, 0.500, 0.938)
Sn (0.000, 0.500, 0.780)



A geometry-optimized Pm2TcC structure. Source: Alexandria via LeMat-Bulk, functional PBE.

For the formation energy, the calculation gives -33 kJ/mol of formula units. Its energy above the most stable polymorph in this dataset is 0 meV/atom. The total energy is -29.4 eV/cell. Its total magnetization is 0.00 μB per atom.

Unit cell a=6.963 b=6.963 c=3.679 alpha=105.24 beta=105.24 gamma=33.41
Fractional coordinates of all 4 atoms:
Pm (0.132, 0.132, 0.132)
Pm (0.868, 0.868, 0.868)
Tc (0.500, 0.500, 0.500)
C (0.000, 0.000, 0.500)



A geometry-optimized Pr2Cd3Pd2 structure. Source: Alexandria via LeMat-Bulk, functional PBE.

For the formation energy, the calculation gives -390 kJ/mol of formula units. Its energy above the most stable polymorph in this dataset is 0 meV/atom. The total energy is -26.7 eV/cell. Its total magnetization is 0.00 μB per atom.

Unit cell a=5.580 b=5.580 c=7.595 alpha=108.74 beta=108.74 gamma=47.85
Fractional coordinates of all 7 atoms:
Pr (0.140, 0.140, 0.278)
Pr (0.860, 0.860, 0.722)
Cd (0.371, 0.371, 0.060)
Cd (0.500, 0.500, 0.500)
Cd (0.629, 0.629, 0.940)
Pd (0.151, 0.151, 0.699)
Pd (0.849, 0.849, 0.301)



A geometry-optimized Zn6CoRh structure. Source: Alexandria via LeMat-Bulk, functional PBE.

For the formation energy, the calculation gives -27 kJ/mol of formula units. The total energy is -22.4 eV/cell. Its total magnetization is 0.07 μB per atom.

Unit cell a=4.801 b=4.846 c=4.875 alpha=88.74 beta=81.73 gamma=84.94
Fractional coordinates of all 8 atoms:
Zn (0.015, 0.246, 0.024)
Zn (0.247, 0.465, 0.529)
Zn (0.481, 0.999, 0.750)
Zn (0.519, 0.001, 0.250)
Zn (0.753, 0.535, 0.471)
Zn (0.985, 0.754, 0.976)
Co (0.000, 0.000, 0.500)
Rh (0.500, 0.500, 0.000)



A geometry-optimized Rb7TlO2 structure. Source: Alexandria via LeMat-Bulk, functional PBE.

The value obtained for the uncorrected formation energy is -0.497 eV/atom. The total energy is -24.0 eV/cell. Its total magnetization is 0.11 μB per atom.

Unit cell a=9.094 b=9.094 c=5.735 alpha=90.00 beta=90.00 gamma=120.00
Fractional coordinates of all 10 atoms:
Rb (0.000, 0.000, 0.000)
Rb (0.159, 0.458, 0.000)
Rb (0.193, 0.807, 0.500)
Rb (0.458, 0.159, 0.000)
Rb (0.542, 0.841, 0.000)
Rb (0.807, 0.193, 0.500)
Rb (0.841, 0.542, 0.000)
Tl (0.500, 0.500, 0.500)
O (0.194, 0.806, 0.000)
O (0.806, 0.194, 0.000)



A geometry-optimized LaSc2Te structure. Source: Alexandria via LeMat-Bulk, functional PBE.

The value obtained for the uncorrected formation energy is -0.410 eV/atom. The total energy is -22.4 eV/cell. Its total magnetization is 0.00 μB per atom.

Unit cell a=9.758 b=9.758 c=9.758 alpha=22.11 beta=22.11 gamma=22.11
Fractional coordinates of all 4 atoms:
La (0.000, 0.000, 0.000)
Sc (0.235, 0.235, 0.235)
Sc (0.765, 0.765, 0.765)
Te (0.500, 0.500, 0.500)



A geometry-optimized TaCr2As structure. Source: Alexandria via LeMat-Bulk, functional PBE.

For the formation energy, the calculation gives 31 kJ/mol of formula units. The total energy is -35.4 eV/cell. Its total magnetization is 0.11 μB per atom.

Unit cell a=3.145 b=3.145 c=5.910 alpha=90.00 beta=90.00 gamma=90.00
Fractional coordinates of all 4 atoms:
Ta (0.000, 0.000, 0.000)
Cr (0.000, 0.000, 0.504)
Cr (0.500, 0.500, 0.702)
As (0.500, 0.500, 0.253)



A geometry-optimized La2MgZr structure. Source: Alexandria via LeMat-Bulk, functional PBE.

For the formation energy, the calculation gives 65 kJ/mol of formula units. The total energy is -19.3 eV/cell. Its total magnetization is 0.00 μB per atom.

Unit cell a=5.855 b=5.855 c=6.121 alpha=96.61 beta=96.61 gamma=33.76
Fractional coordinates of all 4 atoms:
La (0.241, 0.241, 0.250)
La (0.759, 0.759, 0.750)
Mg (0.500, 0.500, 0.000)
Zr (0.000, 0.000, 0.500)



A geometry-optimized NbBRh3 structure. Source: Alexandria via LeMat-Bulk, functional PBE.

For the formation energy, the calculation gives -135 kJ/mol of formula units. The total energy is -40.2 eV/cell. Its total magnetization is 0.00 μB per atom.

Unit cell a=4.108 b=4.108 c=4.108 alpha=90.00 beta=90.00 gamma=90.00
Fractional coordinates of all 5 atoms:
Nb (0.000, 0.000, 0.000)
B (0.500, 0.500, 0.500)
Rh (0.000, 0.500, 0.500)
Rh (0.500, 0.000, 0.500)
Rh (0.500, 0.500, 0.000)



A geometry-optimized K4Sm3ZrTe8 structure. Source: Alexandria via LeMat-Bulk, functional PBE.

The value obtained for the uncorrected formation energy is -1.280 eV/atom. The total energy is -72.7 eV/cell. Its total magnetization is 0.04 μB per atom.

Unit cell a=9.767 b=9.767 c=9.767 alpha=54.56 beta=54.56 gamma=54.56
Fractional coordinates of all 16 atoms:
K (0.000, 0.000, 0.000)
K (0.000, 0.500, 0.500)
K (0.500, 0.000, 0.500)
K (0.500, 0.500, 0.000)
Sm (0.000, 0.000, 0.500)
Sm (0.000, 0.500, 0.000)
Sm (0.500, 0.000, 0.000)
Zr (0.500, 0.500, 0.500)
Te (0.239, 0.239, 0.239)
Te (0.251, 0.728, 0.728)
Te (0.272, 0.272, 0.749)
Te (0.272, 0.749, 0.272)
Te (0.728, 0.251, 0.728)
Te (0.728, 0.728, 0.251)
Te (0.749, 0.272, 0.272)
Te (0.761, 0.761, 0.761)



A geometry-optimized TiPt3 structure. Source: Alexandria via LeMat-Bulk, functional PBE.

For the formation energy, the calculation gives -335 kJ/mol of formula units. The total energy is -118.0 eV/cell. Its total magnetization is 0.00 μB per atom.

Unit cell a=5.590 b=5.590 c=9.107 alpha=90.00 beta=90.00 gamma=120.00
Fractional coordinates of all 16 atoms:
Ti (0.000, 0.000, 0.000)
Ti (0.000, 0.000, 0.500)
Ti (0.333, 0.667, 0.250)
Ti (0.667, 0.333, 0.750)
Pt (0.000, 0.500, 0.000)
Pt (0.000, 0.500, 0.500)
Pt (0.167, 0.333, 0.750)
Pt (0.167, 0.833, 0.750)
Pt (0.333, 0.167, 0.250)
Pt (0.500, 0.000, 0.000)
Pt (0.500, 0.000, 0.500)
Pt (0.500, 0.500, 0.000)
Pt (0.500, 0.500, 0.500)
Pt (0.667, 0.833, 0.750)
Pt (0.833, 0.167, 0.250)
Pt (0.833, 0.667, 0.250)